This record from Alexandria describes crystalline Tl2GaSe at its relaxed geometry. The functional is PBE.

For the uncorrected formation energy, the calculation gives 0.02 eV/f.u. As for the excess energy over the best structure of this formula in the dataset: 0.96 kJ/mol of atoms. As for the density of states at the Fermi level: 0.56 states/eV per atom. The calculation puts the raw total energy at -2.806 eV per atom. The magnetic moment comes out at 0.00 Bohr magnetons per cell. The crystal system is tetragonal.

The structure belongs to space group I-42d (No. 122); the cell edges are 6.698, 6.698 and 12.514 Å and the angles 90.00°, 90.00° and 90.00°. The distinct sites, in fractional coordinates, are Tl at (0.241, 0.250, 0.125), Ga at (0.000, 0.000, 0.000) and Se at (0.000, 0.000, 0.500).

This record from Alexandria describes crystalline Tm6TlGa2Se3 at its relaxed geometry. The functional is PBE.

For the uncorrected formation energy, the calculation gives -12.87 eV/f.u. As for the density of states at the Fermi level: 0.32 states/eV per atom. The calculation puts the raw total energy at -4.881 eV per atom. The magnetic moment comes out at 0.00 Bohr magnetons per cell. The crystal system is monoclinic.

The structure belongs to space group C2/m (No. 12); the cell edges are 18.616, 3.926 and 8.639 Å and the angles 90.00°, 111.13° and 90.00°. The distinct sites, in fractional coordinates, are Tm at (0.003, 0.000, 0.234), Tm at (0.170, 0.500, 0.076), Tm at (0.172, 0.500, 0.576), Tl at (0.000, 0.500, 0.500), Ga at (0.161, 0.000, 0.817), Se at (0.000, 0.500, 0.000) and Se at (0.166, 0.000, 0.324).

This record from Alexandria describes crystalline TmTl2GaSe4 at its relaxed geometry. The functional is PBE.

For the uncorrected formation energy, the calculation gives -6.42 eV/f.u. As for the density of states at the Fermi level: 0.28 states/eV per atom. The calculation puts the raw total energy at -4.073 eV per atom. The magnetic moment comes out at 0.00 Bohr magnetons per cell. The crystal system is orthorhombic.

The structure belongs to space group Imma (No. 74); the cell edges are 8.418, 8.463 and 12.105 Å and the angles 90.00°, 90.00° and 90.00°. The distinct sites, in fractional coordinates, are Tm at (0.000, 0.000, 0.000), Tl at (0.000, 0.000, 0.500), Tl at (0.250, 0.250, 0.250), Ga at (0.250, 0.250, 0.750), Se at (0.000, 0.038, 0.762) and Se at (0.224, 0.250, 0.981).

This record from Alexandria describes crystalline Tm3Tl3GaSe8 at its relaxed geometry. The functional is PBE.

For the uncorrected formation energy, the calculation gives -16.64 eV/f.u. As for the density of states at the Fermi level: 0.39 states/eV per atom. The calculation puts the raw total energy at -4.537 eV per atom. The magnetic moment comes out at 0.00 Bohr magnetons per cell. The crystal system is monoclinic.

The structure belongs to space group C2/m (No. 12); the cell edges are 14.092, 8.138 and 8.983 Å and the angles 90.00°, 121.47° and 90.00°. The distinct sites, in fractional coordinates, are Tm at (0.000, 0.000, 0.000), Tm at (0.250, 0.250, 0.000), Tl at (0.000, 0.500, 0.500), Tl at (0.250, 0.250, 0.500), Ga at (0.000, 0.500, 0.000), Se at (0.014, 0.263, 0.805), Se at (0.223, 0.500, 0.196) and Se at (0.235, 0.000, 0.206).

This record from Alexandria describes crystalline Tl2VGaSe at its relaxed geometry. The functional is PBE.

For the uncorrected formation energy, the calculation gives 1.08 eV/f.u. As for the density of states at the Fermi level: 0.70 states/eV per atom. The calculation puts the raw total energy at -3.857 eV per atom. The magnetic moment comes out at 0.00 Bohr magnetons per cell. The crystal system is tetragonal.

The structure belongs to space group P4/mmm (No. 123); the cell edges are 5.430, 5.430 and 4.644 Å and the angles 90.00°, 90.00° and 90.00°. The distinct sites, in fractional coordinates, are Tl at (0.000, 0.500, 0.000), V at (0.000, 0.000, 0.000), Ga at (0.500, 0.500, 0.500) and Se at (0.000, 0.000, 0.500).

This record from Alexandria describes crystalline YTl2GaSe4 at its relaxed geometry. The functional is PBE.

For the uncorrected formation energy, the calculation gives -6.50 eV/f.u. As for the density of states at the Fermi level: 0.25 states/eV per atom. The calculation puts the raw total energy at -4.332 eV per atom. The magnetic moment comes out at 0.00 Bohr magnetons per cell. The crystal system is orthorhombic.

The structure belongs to space group Imma (No. 74); the cell edges are 8.415, 8.553 and 12.154 Å and the angles 90.00°, 90.00° and 90.00°. The distinct sites, in fractional coordinates, are Y at (0.000, 0.000, 0.000), Tl at (0.000, 0.000, 0.500), Tl at (0.250, 0.250, 0.250), Ga at (0.250, 0.250, 0.750), Se at (0.000, 0.040, 0.760) and Se at (0.227, 0.250, 0.980).

This record from Alexandria describes crystalline ZrTl2GaSe5 at its relaxed geometry. The functional is PBE.

For the uncorrected formation energy, the calculation gives -6.52 eV/f.u. As for the density of states at the Fermi level: 0.41 states/eV per atom. The calculation puts the raw total energy at -4.473 eV per atom. The magnetic moment comes out at 0.00 Bohr magnetons per cell. The crystal system is orthorhombic.

The structure belongs to space group Cmc2_1 (No. 36); the cell edges are 3.891, 18.888 and 13.621 Å and the angles 90.00°, 90.00° and 90.00°. The distinct sites, in fractional coordinates, are Zr at (0.000, 0.205, 0.000), Tl at (0.000, 0.120, 0.298), Tl at (0.000, 0.120, 0.641), Ga at (0.000, 0.440, 0.398), Se at (0.000, 0.050, 0.008), Se at (0.000, 0.294, 0.636), Se at (0.000, 0.313, 0.357), Se at (0.000, 0.341, 0.966) and Se at (0.000, 0.495, 0.747).

This record from Alexandria describes crystalline Tm3GaSe2 at its relaxed geometry. The functional is PBE.

For the uncorrected formation energy, the calculation gives -8.20 eV/f.u. As for the density of states at the Fermi level: 0.15 states/eV per atom. The calculation puts the raw total energy at -5.268 eV per atom. The magnetic moment comes out at 0.00 Bohr magnetons per cell. The crystal system is orthorhombic.

The structure belongs to space group Immm (No. 71); the cell edges are 3.943, 5.739 and 12.532 Å and the angles 90.00°, 90.00° and 90.00°. The distinct sites, in fractional coordinates, are Tm at (0.000, 0.000, 0.000), Tm at (0.000, 0.000, 0.336), Ga at (0.000, 0.500, 0.000) and Se at (0.000, 0.500, 0.331).

This record from Alexandria describes crystalline Tm4GaSe2 at its relaxed geometry. The functional is PBE.

For the uncorrected formation energy, the calculation gives -7.27 eV/f.u. As for the density of states at the Fermi level: 0.50 states/eV per atom. The calculation puts the raw total energy at -5.022 eV per atom. The magnetic moment comes out at 0.00 Bohr magnetons per cell. The crystal system is monoclinic.

The structure belongs to space group C2/m (No. 12); the cell edges are 14.890, 3.897 and 6.819 Å and the angles 90.00°, 116.77° and 90.00°. The distinct sites, in fractional coordinates, are Tm at (0.113, 0.000, 0.264), Tm at (0.122, 0.500, 0.807), Ga at (0.000, 0.000, 0.500) and Se at (0.249, 0.000, 0.738).

This record from Alexandria describes crystalline Tm6Ga3Se at its relaxed geometry. The functional is PBE.

For the uncorrected formation energy, the calculation gives -5.11 eV/f.u. As for the density of states at the Fermi level: 0.77 states/eV per atom. The calculation puts the raw total energy at -4.450 eV per atom. The magnetic moment comes out at 0.00 Bohr magnetons per cell. The crystal system is orthorhombic.

The structure belongs to space group Cmc2_1 (No. 36); the cell edges are 11.011, 14.079 and 7.103 Å and the angles 90.00°, 90.00° and 90.00°. The distinct sites, in fractional coordinates, are Tm at (0.000, 0.006, 0.000), Tm at (0.000, 0.244, 0.382), Tm at (0.167, 0.470, 0.418), Tm at (0.169, 0.265, 0.950), Ga at (0.000, 0.401, 0.129), Ga at (0.180, 0.110, 0.221) and Se at (0.000, 0.160, 0.734).